Arrangement 1

## Pa2Ga3 (PBE)

Data for a geometry-optimized Pa2Ga3 structure.

Calculated values
Its total magnetic moment is 2.0 μB/f.u.

a b c (Å): 5.6808 5.6808 7.5931
angles (deg): 90.00 90.00 61.23
With the nearest neighbours (Å) after each atom.
Sites, in units of the cell vectors:
1 Pa 0.8435 0.8435 0.3999  6 Ga 2.99-3.13
2 Pa 0.3435 0.3435 0.1001  6 Ga 2.99-3.13
3 Pa 0.1565 0.1565 0.6001  6 Ga 2.99-3.13
4 Pa 0.6565 0.6565 0.8999  6 Ga 2.99-3.13
5 Ga 0.1472 0.6472 0.7500  4 Ga 2.59-2.89
6 Ga 0.5000 0.5000 0.5000  4 Ga 2.59
7 Ga 0.6472 0.1472 0.7500  4 Ga 2.59-2.89
8 Ga 0.8528 0.3528 0.2500  4 Ga 2.59-2.89
9 Ga 0.0000 0.0000 0.0000  4 Ga 2.59
10 Ga 0.3528 0.8528 0.2500  4 Ga 2.59-2.89


Arrangement 2

## Pa2Ga3 (PBE)

Data for a geometry-optimized Pa2Ga3 structure.

Calculated values
Its total magnetic moment is 0.0 μB/f.u.

a b c (Å): 4.0240 5.7549 5.7474
angles (deg): 120.04 110.49 90.00
With the nearest neighbours (Å) after each atom.
Sites, in units of the cell vectors:
1 Pa 0.7804 0.2804 0.5608  8 Ga 3.04-3.25
2 Pa 0.2196 0.7196 0.4392  8 Ga 3.04-3.25
3 Ga 0.0000 0.0000 0.0000  4 Ga 2.60
4 Ga 0.5000 0.2862 0.0000  3 Ga 2.46-2.60
5 Ga 0.5000 0.7138 0.0000  3 Ga 2.46-2.60


Quick one: most stable of them? arrangement 2


Arrangement 1

## PaGa5 (PBE)

Data for a geometry-optimized PaGa5 structure.

Calculated values
Its total magnetic moment is 0.0 μB/f.u.

a b c (Å): 3.5068 4.7495 7.4356
angles (deg): 108.63 90.00 90.00
With the nearest neighbours (Å) after each atom.
Sites, in units of the cell vectors:
1 Ga 0.5000 0.1824 0.3648  8 Ga 2.81-3.04, 2 Pa 3.11
2 Ga 0.5000 0.5000 0.0000  4 Ga 2.88, 4 Pa 2.95
3 Ga 0.5000 0.8176 0.6352  8 Ga 2.81-3.04, 2 Pa 3.11
4 Ga 0.0000 0.6618 0.3236  8 Ga 2.81-2.97
5 Ga 0.0000 0.3382 0.6764  8 Ga 2.81-2.97
6 Pa 0.0000 0.0000 0.0000  12 Ga 2.95-3.29


Arrangement 2

## PaGa5 (PBE)

Data for a geometry-optimized PaGa5 structure.

Calculated values
Its total magnetic moment is 0.0 μB/f.u.

a b c (Å): 4.5646 4.1425 6.4345
angles (deg): 108.78 90.00 90.00
With the nearest neighbours (Å) after each atom.
Sites, in units of the cell vectors:
1 Ga 0.5000 0.5000 0.0000  8 Ga 2.91-3.20, 4 Pa 3.08
2 Ga 0.0000 0.3160 0.6320  4 Ga 2.62-2.91
3 Ga 0.5000 0.8321 0.6643  10 Ga 2.88-3.09, 2 Pa 3.06
4 Ga 0.5000 0.1679 0.3357  10 Ga 2.88-3.09, 2 Pa 3.06
5 Ga 0.0000 0.6840 0.3680  4 Ga 2.62-2.91
6 Pa 0.0000 0.0000 0.0000  12 Ga 3.05-3.08


Arrangement 3

## PaGa5 (PBE)

Data for a geometry-optimized PaGa5 structure.

Calculated values
Its total magnetic moment is 0.4 μB/f.u.

a b c (Å): 4.2348 5.6091 5.6091
angles (deg): 120.00 90.00 90.00
With the nearest neighbours (Å) after each atom.
Sites, in units of the cell vectors:
1 Ga 0.0000 0.6051 0.6051  8 Ga 2.73-2.98
2 Ga 0.0000 0.0000 0.3949  8 Ga 2.73-2.98
3 Ga 0.5000 0.3333 0.6667  6 Ga 2.73
4 Ga 0.0000 0.3949 0.0000  8 Ga 2.73-2.98
5 Ga 0.5000 0.6667 0.3333  6 Ga 2.73
6 Pa 0.5000 0.0000 0.0000  12 Ga 3.06-3.24


Quick one: most stable of them? arrangement 2


Arrangement 1

## PaGa4 (PBE)

Data for a geometry-optimized PaGa4 structure.

Calculated values
Its total magnetic moment is 0.2 μB/f.u.

a b c (Å): 5.5647 5.5647 5.5647
angles (deg): 90.00 90.00 90.00
With the nearest neighbours (Å) after each atom.
Sites, in units of the cell vectors:
1 Ga 0.5000 0.0000 0.5000  2 Pa 2.78
2 Ga 0.0000 0.5000 0.5000  2 Pa 2.78
3 Ga 0.0000 0.0000 0.0000  12 Ga 3.93
4 Ga 0.5000 0.5000 0.0000  2 Pa 2.78
5 Pa 0.5000 0.5000 0.5000  6 Ga 2.78


Arrangement 2

## PaGa4 (PBE)

Data for a geometry-optimized PaGa4 structure.

Calculated values
Its total magnetic moment is 0.0 μB/f.u.

a b c (Å): 5.0370 9.5810 9.5810
angles (deg): 90.00 90.00 90.00
With the nearest neighbours (Å) after each atom.
Sites, in units of the cell vectors:
1 Ga 0.5000 0.2066 0.1037  4 Ga 2.57-2.69
2 Ga 0.5000 0.1037 0.7934  4 Ga 2.57-2.69
3 Ga 0.5000 0.3963 0.2934  4 Ga 2.57-2.69
4 Ga 0.7692 0.5000 0.5000  5 Ga 2.33-2.60
5 Ga 0.2308 0.5000 0.5000  5 Ga 2.33-2.60
6 Ga 0.5000 0.6060 0.1060  5 Ga 2.69-2.94
7 Ga 0.5000 0.8940 0.6060  5 Ga 2.69-2.94
8 Ga 0.5000 0.3940 0.8940  5 Ga 2.69-2.94
9 Ga 0.5000 0.2934 0.6037  4 Ga 2.57-2.69
10 Ga 0.5000 0.7934 0.8963  4 Ga 2.57-2.69
11 Ga 0.5000 0.1060 0.3940  5 Ga 2.69-2.94
12 Ga 0.7692 0.0000 0.0000  5 Ga 2.33-2.60
13 Ga 0.5000 0.7066 0.3963  4 Ga 2.57-2.69
14 Ga 0.5000 0.6037 0.7066  4 Ga 2.57-2.69
15 Ga 0.2308 0.0000 0.0000  5 Ga 2.33-2.60
16 Ga 0.5000 0.8963 0.2066  4 Ga 2.57-2.69
17 Pa 0.0000 0.4044 0.0956  1 Pa 2.59
18 Pa 0.0000 0.9044 0.4044  1 Pa 2.59
19 Pa 0.0000 0.0956 0.5956  1 Pa 2.59
20 Pa 0.0000 0.5956 0.9044  1 Pa 2.59


Quick one: most stable of them? arrangement 2